(1)
# Pr8BS3I4

Crystalline Pr8BS3I4 at its relaxed geometry (PBE-GGA, Alexandria).

```
16
Lattice="-7.958 2.101 -1.459 -0.616 -6.647 -6.213 2.404 -2.168 7.706" Properties=species:S:1:pos:R:3 pbc="T T T"
S 0.894 -4.408 0.747
I -2.777 -0.033 3.123
I 1.202 -1.084 3.853
Pr -5.055 -1.672 1.217
Pr -1.051 -2.708 1.831
I 0.000 0.000 0.000
Pr -1.114 -5.042 -1.183
Pr -5.118 -4.006 -1.798
Pr -4.027 -5.077 2.093
I -3.979 1.051 -0.730
S -4.287 -2.273 -3.836
Pr -2.142 -1.637 -2.060
Pr 0.147 -6.179 2.859
Pr -6.316 -0.535 -2.825
S -3.085 -3.357 0.017
B -0.308 -3.324 -3.106
```

Properties
SG: R-3m
E_tot, eV for the cell shown: -84.33
ΔE_f (raw), eV/atom: -1.302


(2)
# SrTi2SeO8

Crystalline SrTi2SeO8 at its relaxed geometry (PBE-GGA, Alexandria).

```
12
Lattice="-4.667 1.970 -0.958 -3.214 -3.381 -2.194 -2.243 -2.115 6.524" Properties=species:S:1:pos:R:3 pbc="T T T"
O -6.510 -1.881 0.493
Sr -1.121 -1.057 3.262
O -3.613 -1.646 2.879
O -4.039 -2.590 -0.763
O -6.281 -1.154 -2.385
Se 0.000 0.000 0.000
O -3.842 -2.372 5.757
O -6.084 -0.936 4.135
O -5.280 -3.900 3.451
O -4.844 0.374 -0.078
Ti -5.476 -1.316 -0.737
Ti -4.648 -2.210 4.109
```

Properties
SG: C2/m
E_tot, eV for the cell shown: -86.29
ΔE_f (raw), eV/atom: -2.139


(3)
# CuTc2Ag

Crystalline CuTc2Ag at its relaxed geometry (PBE-GGA, Alexandria).

```
4
Lattice="4.704 -0.025 -0.172 1.481 4.465 0.172 -2.994 -2.357 2.763" Properties=species:S:1:pos:R:3 pbc="T T T"
Tc 0.001 0.001 0.000
Ag 3.092 2.220 0.000
Cu 0.790 2.164 1.468
Tc 2.400 -0.082 1.296
```

Properties
SG: I-4m2
Energy of formation from the pure elements, eV per atom: 0.43
E_tot, eV for the cell shown: -25.94


(4)
# NaHIr

Crystalline NaHIr at its relaxed geometry (PBE-GGA, Alexandria).

```
3
Lattice="-1.288 0.960 -2.571 0.324 -2.413 -1.063 -4.414 -1.346 1.708" Properties=species:S:1:pos:R:3 pbc="T T T"
H -1.662 -0.507 0.643
Na 0.103 -1.224 -0.509
Ir -3.006 -0.240 -0.372
```

Properties
SG: Pmm2
E_tot, eV for the cell shown: -12.89


(5)
# Sm2PaC3

Crystalline Sm2PaC3 at its relaxed geometry (PBE-GGA, Alexandria).

```
12
Lattice="5.406 0.000 0.000 0.000 7.180 -0.004 0.000 -3.522 6.258" Properties=species:S:1:pos:R:3 pbc="T T T"
C 2.497 3.125 5.341
C 5.286 4.142 3.270
Pa 0.095 3.047 5.207
Sm 0.062 3.022 1.054
Pa 2.797 0.612 1.046
Sm 0.062 -0.562 3.151
Sm 2.765 4.220 3.102
C 5.286 0.821 5.213
Sm 2.765 0.636 5.199
C 2.583 2.838 1.040
C 5.200 0.534 0.912
C 2.583 -0.484 2.983
```

Properties
SG: Cmc2_1
Energy of formation from the pure elements, eV per atom: 0.00
E_tot, eV for the cell shown: -93.23


(6)
# Te2PtAu

Crystalline Te2PtAu at its relaxed geometry (PBE-GGA, Alexandria).

```
4
Lattice="3.400 0.000 0.000 0.000 3.400 0.000 0.000 0.000 7.561" Properties=species:S:1:pos:R:3 pbc="T T T"
Te 0.000 0.000 7.395
Te 0.000 0.000 3.946
Pt 1.700 1.700 5.671
Au 1.700 1.700 1.890
```

Properties
SG: P4/mmm
E_tot, eV for the cell shown: -14.55
ΔE_f (raw), eV/atom: 0.263


(7)
# TlAg3Pd

Crystalline TlAg3Pd at its relaxed geometry (PBE-GGA, Alexandria).

```
5
Lattice="-0.223 0.394 -5.121 2.642 -4.387 -0.453 -4.405 -2.652 -0.012" Properties=species:S:1:pos:R:3 pbc="T T T"
Tl -0.993 -3.322 -2.793
Ag -2.202 -1.326 -0.006
Pd 0.000 0.000 0.000
Ag 1.321 -2.193 -0.226
Ag -0.112 0.197 -2.561
```

Properties
SG: Pm-3m
Energy of formation from the pure elements, eV per atom: 0.51
E_tot, eV for the cell shown: -13.59


(8)
# HfTi2N4

Crystalline HfTi2N4 at its relaxed geometry (PBE-GGA, Alexandria).

```
14
Lattice="-2.480 -0.113 -1.637 -1.160 -1.934 4.591 -2.535 9.136 3.209" Properties=species:S:1:pos:R:3 pbc="T T T"
Hf -3.700 6.331 2.467
N -0.829 2.122 1.109
N -5.346 4.967 5.054
Ti -1.717 3.398 2.367
Ti -5.365 6.964 4.945
N -2.679 4.742 3.731
Ti -4.457 3.691 3.796
N -3.495 2.346 2.432
N -2.835 -0.034 1.596
Ti -0.810 0.125 1.218
N -1.240 -0.057 -0.819
N -2.507 4.511 0.786
N -3.340 7.122 4.567
Hf -2.474 0.757 3.695
```

Properties
SG: Cmcm
E_tot, eV for the cell shown: -139.02
ΔE_f (raw), eV/atom: -1.495